This record from the Alexandria database describes a relaxed Li2MoPb crystal. The functional is PBE.

a b c (Å): 7.3983 7.3983 5.9209
angles (deg): 51.34 51.34 90.00
With the nearest neighbours (Å) after each atom.
Fractional positions:
Mo (0.5000, 0.5000, 0.0000)  4 Li 2.69, 2 Pb 2.77
Mo (0.2500, 0.7500, 0.5000)  4 Li 2.69, 2 Pb 2.77
Pb (0.0000, 0.0000, 0.0000)  4 Li 2.72, 2 Mo 2.77
Pb (0.7500, 0.2500, 0.5000)  4 Li 2.72, 2 Mo 2.77
Li (0.1277, 0.6250, 0.2500)  2 Mo 2.69, 2 Pb 2.72, 2 Li 2.77
Li (0.3750, 0.3777, 0.7500)  2 Mo 2.69, 2 Pb 2.72, 2 Li 2.77
Li (0.8750, 0.8723, 0.7500)  2 Mo 2.69, 2 Pb 2.72, 2 Li 2.77
Li (0.6223, 0.1250, 0.2500)  2 Mo 2.69, 2 Pb 2.72, 2 Li 2.77

The density of states at the Fermi level is 2.462 states/eV/f.u. The calculated total energy comes out at -3.9388 eV/atom. The space-group type is No. 122. The calculated volume is 18.97 Å³/atom.